Run P
VASP calculation (PBE) on an optimized crystal structure of GeOsIN2.

Summary:
- mass density (g/cm³) = 7.806
- crystal system = tetragonal
- size of the total moment (μB per formula unit) = 0.00

Cell: 3.930 3.930 5.753 Å, 90.00 90.00 90.00°
Positions (direct):
I 0.000 0.000 0.500
Ge 0.500 0.500 0.500
Os 0.000 0.000 0.000
N 0.000 0.500 0.000
N 0.500 0.000 0.000

***

Run Q
VASP calculation (PBE) on an optimized crystal structure of GeOsIN2.

Summary:
- mass density (g/cm³) = 6.950
- crystal system = tetragonal
- size of the total moment (μB per formula unit) = 1.88

Cell: 3.735 3.735 7.157 Å, 90.00 90.00 90.00°
Positions (direct):
I 0.000 0.000 0.500
Ge 0.000 0.000 0.000
Os 0.500 0.500 0.500
N 0.000 0.500 0.000
N 0.500 0.000 0.000

***

Verdict on stability: run Q comes out at the bottom.

***

Run P
VASP calculation (PBE) on an optimized crystal structure of GePIN2.

Summary:
- mass density (g/cm³) = 3.613
- crystal system = tetragonal
- size of the total moment (μB per formula unit) = 0.33

Cell: 3.740 8.494 3.740 Å, 90.00 90.00 90.00°
Positions (direct):
I 0.000 0.500 0.000
P 0.500 0.500 0.500
Ge 0.000 0.000 0.000
N 0.000 0.000 0.500
N 0.500 0.000 0.000

***

Run Q
VASP calculation (PBE) on an optimized crystal structure of GePIN2.

Summary:
- mass density (g/cm³) = 4.474
- crystal system = tetragonal
- size of the total moment (μB per formula unit) = 1.11

Cell: 3.721 3.721 6.931 Å, 90.00 90.00 90.00°
Positions (direct):
I 0.000 0.000 0.500
P 0.000 0.000 0.000
Ge 0.500 0.500 0.500
N 0.000 0.500 0.000
N 0.500 0.000 0.000

***

Verdict on stability: run P comes out at the bottom.